(1)
Below is a geometry-optimized Zr2CoIr structure, with properties calculated at the GGA-PBE level.

a = 3.6757 Å, b = 3.6757 Å, c = 19.2043 Å
α = 90.00°, β = 90.00°, γ = 120.00°
Space group R-3m (No. 166, hexagonal axes)
Unique sites:
Zr  0.0000  0.0000  0.2457
Co  0.0000  0.0000  0.5000
Ir  0.0000  0.0000  0.0000

Summary:
ΔH_f (0 K) = -226.0 meV per atom
Final energy = -101.901 eV for the cell shown
Total moment = 0.00 μB/f.u.
V = 18.73 Å³/atom



(2)
Below is a geometry-optimized K2SrB structure, with properties calculated at the GGA-PBE level.

a = 11.8179 Å, b = 11.8179 Å, c = 5.4560 Å
α = 90.00°, β = 90.00°, γ = 90.00°
Space group I-42d (No. 122)
Unique sites:
K  0.1047  0.7500  0.1250
Sr  0.0000  0.0000  0.5000
B  0.0000  0.0000  0.0000

Summary:
ΔH_f (0 K) = 820.1 meV per atom
Final energy = -29.096 eV for the cell shown
Total moment = 0.00 μB/f.u.
V = 47.63 Å³/atom